A plane-wave DFT calculation with PBE was carried out for a geometry-optimized Ni2PtRhW structure.

* space group: No. 11
* formation enthalpy at 0 K: -0.162 eV/atom
* Fermi-level density of states: 0.8272 states/eV per atom

```
Ni2PtRhW
1.0
-0.846 -2.205 -3.637
6.952 -1.483 -0.718
-2.046 -3.333 2.496
Ni W Rh Pt
4 2 2 2
Cartesian
4.291 -3.693 -0.051
6.390 -2.582 -1.213
-2.330 -4.439 -0.645
-0.231 -3.327 -1.807
4.513 -3.695 -2.687
-0.453 -3.326 0.829
2.380 -4.677 -1.596
1.680 -2.343 -0.262
2.018 -2.294 -2.957
2.042 -4.727 1.098
```

A plane-wave DFT calculation with PBE was carried out for a geometry-optimized ZnNiPtRh structure.

* space group: No. 119
* formation enthalpy at 0 K: -0.230 eV/atom
* Fermi-level density of states: 0.7448 states/eV per atom

```
ZnNiPtRh
1.0
-0.847 -3.566 1.448
2.835 -1.581 -2.236
1.342 3.077 3.000
Ni Rh Zn Pt
1 1 1 1
Cartesian
0.994 -2.574 -0.394
2.585 -0.539 0.185
0.000 0.000 0.000
0.745 -1.531 2.027
```

A plane-wave DFT calculation with PBE was carried out for a geometry-optimized Zn2NiPt5Rh structure.

* space group: No. 140
* formation enthalpy at 0 K: 0.142 eV/atom
* Fermi-level density of states: 1.0844 states/eV per atom

```
Zn2NiPt5Rh
1.0
-3.389 -5.143 -0.943
3.699 -1.564 -4.764
4.192 -0.354 7.447
Zn Pt Rh Ni
4 10 2 2
Cartesian
1.964 -3.259 -4.489
0.923 -1.250 -1.882
-0.613 -5.457 -3.824
-1.654 -3.448 -1.217
1.281 -3.553 4.129
1.314 -2.813 -0.024
0.155 -3.353 -2.853
4.820 -1.650 2.316
2.912 -0.955 4.682
-0.318 -5.411 -0.576
0.000 0.000 0.000
1.590 -6.106 -2.942
3.188 -4.248 1.764
3.221 -3.508 -2.389
4.023 -2.636 -0.085
0.479 -4.425 1.825
2.329 -5.207 -0.557
2.174 -1.854 2.297
```

A plane-wave DFT calculation with PBE was carried out for a geometry-optimized ZrNiPtRh structure.

* energy above the lowest structure with this stoichiometry: 281 meV/atom
* space group: No. 216
* formation enthalpy at 0 K: -0.490 eV/atom
* Fermi-level density of states: 1.3339 states/eV per atom

```
ZrNiPtRh
1.0
-4.293 -0.912 0.751
-1.144 -3.756 2.101
-1.621 0.172 4.144
Pt Zr Ni Rh
1 1 1 1
Cartesian
-1.764 -1.124 1.749
-5.293 -3.371 5.247
-3.529 -2.248 3.498
0.000 0.000 0.000
```

A plane-wave DFT calculation with PBE was carried out for a geometry-optimized ZrNiPtRh structure.

* energy above the lowest structure with this stoichiometry: 0 meV/atom
* space group: No. 47
* formation enthalpy at 0 K: -0.771 eV/atom
* Fermi-level density of states: 0.7978 states/eV per atom

```
ZrNiPtRh
1.0
-3.104 0.276 2.299
1.490 -2.744 2.342
1.861 2.861 2.169
Pt Rh Ni Zr
1 1 1 1
Cartesian
0.000 0.000 0.000
1.675 0.059 2.255
-0.807 -1.234 2.320
-0.622 1.569 2.234
```

A plane-wave DFT calculation with PBE was carried out for a geometry-optimized Zr2NiPtRh structure.

* space group: No. 123
* formation enthalpy at 0 K: 0.335 eV/atom
* Fermi-level density of states: 1.0109 states/eV per atom

```
Zr2NiPtRh
1.0
4.906 0.000 0.000
0.000 4.460 0.000
0.000 0.000 4.906
Pt Rh Zr Ni
1 1 2 1
Cartesian
2.453 2.230 2.453
0.000 0.000 0.000
2.453 0.000 0.000
0.000 0.000 2.453
0.000 2.230 0.000
```

A plane-wave DFT calculation with PBE was carried out for a geometry-optimized Ni2RuPt structure.

* energy above the lowest structure with this stoichiometry: 33 meV/atom
* space group: No. 25
* formation enthalpy at 0 K: 0.044 eV/atom
* Fermi-level density of states: 1.7519 states/eV per atom

```
Ni2RuPt
1.0
2.684 0.000 0.000
0.000 3.724 0.000
0.000 0.000 5.191
Pt Ni Ru
1 2 1
Cartesian
0.000 0.000 2.572
0.000 0.000 0.002
1.342 1.862 1.249
1.342 1.862 3.964
```

A plane-wave DFT calculation with PBE was carried out for a geometry-optimized Ni2RuPt structure.

* energy above the lowest structure with this stoichiometry: 26 meV/atom
* space group: No. 139
* formation enthalpy at 0 K: 0.037 eV/atom
* Fermi-level density of states: 1.3400 states/eV per atom

```
Ni2RuPt
1.0
-1.249 4.225 0.807
-3.591 -0.224 2.668
4.015 -1.941 0.415
Ni Pt Ru
2 1 1
Cartesian
-2.420 2.001 1.737
0.000 0.000 0.000
-0.998 -0.082 2.410
0.173 2.142 1.480
```